Entry 1:
{"formula": "Y3Pu2S4", "functional": "PBE-GGA", "state": "optimized geometry", "volume_a3_per_atom": 23.26, "magnetic_moment_mub_per_atom": 1.353, "e_form_raw_ev_per_fu": -14.67, "dos_ef_per_ev_atom": 1.772, "final_energy_ha_per_atom": -0.3235, "cell": [[-3.4488, -0.3711, -1.6849], [-0.2213, -6.2468, -2.5840], [-4.5081, -4.7420, 5.8593]], "species": ["Y", "Pu", "Y", "Y", "S", "S", "S", "Pu", "S"], "fractional_positions": [[0.2033, 0.3922, 0.2012], [0.4045, 0.7847, 0.4063], [0.0000, 0.0000, 0.0000], [0.7967, 0.6078, 0.7988], [0.1959, 0.9099, 0.6983], [0.8041, 0.0901, 0.3017], [0.6037, 0.6960, 0.0966], [0.5955, 0.2153, 0.5937], [0.3963, 0.3040, 0.9034]]}

Entry 2:
{"formula": "Y4PuS7", "functional": "PBE-GGA", "state": "optimized geometry", "volume_a3_per_atom": 23.30, "magnetic_moment_mub_per_atom": 0.471, "e_form_raw_ev_per_fu": -23.87, "dos_ef_per_ev_atom": 1.037, "final_energy_ha_per_atom": -0.2847, "cell": [[3.8392, 0.0000, 0.0000], [-1.9196, 6.2343, -1.6403], [0.0000, 0.0283, 11.6770]], "species": ["Y", "Y", "S", "Pu", "Y", "S", "Y", "S", "S", "S", "S", "S"], "fractional_positions": [[0.0005, 0.0010, 0.0007], [0.6979, 0.3959, 0.8107], [0.9585, 0.9170, 0.2151], [0.8851, 0.7702, 0.5777], [0.3027, 0.6055, 0.1901], [0.7375, 0.4750, 0.3480], [0.1150, 0.2299, 0.4221], [0.2584, 0.5168, 0.6500], [0.0431, 0.0862, 0.7876], [0.6596, 0.3192, 0.0509], [0.3420, 0.6840, 0.9504], [0.4996, 0.9993, 0.4966]]}

Entry 3:
{"formula": "YPuS2", "functional": "PBE-GGA", "state": "optimized geometry", "polymorph_energy_mev_per_atom": 0, "volume_a3_per_atom": 21.58, "magnetic_moment_mub_per_atom": 1.434, "e_form_raw_ev_per_fu": -7.65, "dos_ef_per_ev_atom": 1.928, "final_energy_ha_per_atom": -0.3371, "cell": [[3.9242, 0.0000, 0.0000], [1.9621, 3.3985, 0.0000], [1.9621, 1.1328, 6.4716]], "species": ["S", "S", "Y", "Pu"], "fractional_positions": [[0.7509, 0.7509, 0.7472], [0.2491, 0.2491, 0.2528], [0.5000, 0.5000, 0.5000], [0.0000, 0.0000, 0.0000]]}